LaNd2Hg3 (GGA-PBE, optimized geometry); ΔE_f = -0.481 eV/atom; Fermi-level density of states = 7.0 states/eV/cell; M_tot = 1.3 μB/cell; E = -18.3 eV/cell
1.0
-0.153 -3.631 -1.296
0.243 -1.303 3.623
-11.593 0.186 0.845
La Nd Hg
1 2 3
direct
0.500 0.500 0.500
0.500 0.500 0.836
0.500 0.500 0.164
0.000 0.000 0.000
0.000 0.000 0.673
0.000 0.000 0.327


LaNd5Hg6 (GGA-PBE, optimized geometry); ΔE_f = -0.477 eV/atom; Fermi-level density of states = 13.4 states/eV/cell; M_tot = 2.7 μB/cell; E = -36.3 eV/cell
1.0
-0.304 -4.294 -3.312
-3.026 -4.210 5.736
-7.338 4.461 -0.597
Nd Hg La
5 6 1
direct
0.664 0.500 0.331
0.334 0.000 0.666
0.000 0.500 0.000
0.666 0.000 0.334
0.336 0.500 0.669
0.833 0.747 0.663
0.833 0.253 0.663
0.500 0.253 0.000
0.500 0.747 0.000
0.167 0.747 0.337
0.167 0.253 0.337
0.000 0.000 0.000


LaNd14Hg (GGA-PBE, optimized geometry); ΔE_f = -0.027 eV/atom; Fermi-level density of states = 16.7 states/eV/cell; M_tot = 0.0 μB/cell; E = -72.4 eV/cell
1.0
-5.073 0.137 5.177
-2.327 -6.528 -2.127
6.605 -4.502 6.591
La Nd Hg
1 14 1
direct
0.874 0.126 0.000
0.373 0.627 0.500
0.880 0.120 0.500
0.848 0.613 0.000
0.885 0.632 0.500
0.387 0.152 0.000
0.368 0.115 0.500
0.622 0.872 0.755
0.622 0.872 0.245
0.128 0.378 0.755
0.128 0.378 0.245
0.131 0.869 0.769
0.131 0.869 0.231
0.624 0.376 0.739
0.624 0.376 0.261
0.374 0.626 0.000


La2NdHg4 (GGA-PBE, optimized geometry); ΔE_f = -0.362 eV/atom; Fermi-level density of states = 6.5 states/eV/cell; M_tot = 0.0 μB/cell; E = -18.4 eV/cell
1.0
-2.306 -3.998 -2.597
-2.333 -3.914 2.698
-9.424 1.979 -0.081
Nd Hg La
1 4 2
direct
0.000 0.000 0.000
0.874 0.874 0.378
0.126 0.126 0.622
0.627 0.627 0.118
0.373 0.373 0.882
0.756 0.756 0.731
0.244 0.244 0.269